1.
Entry from Alexandria via LeMat-Bulk: an optimized crystal structure of Li3NbC (PBE).

Summary:
calculated volume = 32.32 Å³/atom
calculated total energy = -2.51 eV per atom
energy of formation = 2.49 eV per atom
total magnetic moment = 8.00 μB per cell

a b c (Å): 5.447 5.447 5.447
angles (deg): 90.00 90.00 90.00
Fractional coordinates of all 5 atoms:
Nb 0.000 0.000 0.000
C 0.500 0.500 0.500
Li 0.000 0.500 0.000
Li 0.000 0.000 0.500
Li 0.500 0.000 0.000

---

2.
Entry from Alexandria via LeMat-Bulk: an optimized crystal structure of Al2Zn7Ag3 (PBE).

Summary:
calculated volume = 16.49 Å³/atom
calculated total energy = -2.03 eV per atom
energy of formation = 0.05 eV per atom
total magnetic moment = 0.00 μB per cell

a b c (Å): 2.797 4.498 15.818
angles (deg): 96.25 90.00 90.00
Fractional coordinates of all 12 atoms:
Al 0.500 0.716 0.295
Al 0.500 0.284 0.705
Zn 0.500 0.738 0.462
Zn 0.500 0.262 0.538
Zn 0.000 0.709 0.149
Zn 0.000 0.000 0.000
Zn 0.000 0.291 0.851
Zn 0.500 0.790 0.830
Zn 0.500 0.210 0.170
Ag 0.500 0.500 0.000
Ag 0.000 0.229 0.371
Ag 0.000 0.771 0.629

---

3.
Entry from Alexandria via LeMat-Bulk: an optimized crystal structure of K3ReC4N4O2 (PBE).

Summary:
calculated volume = 19.53 Å³/atom
calculated total energy = -7.37 eV per atom
raw formation energy = -0.519 eV/atom
total magnetic moment = 0.00 μB per cell

a b c (Å): 5.523 6.924 8.265
angles (deg): 72.61 66.12 76.43
Fractional coordinates of all 14 atoms:
K 0.000 0.000 0.500
K 0.474 0.522 0.779
K 0.526 0.478 0.221
Re 0.000 0.000 0.000
C 0.279 0.129 0.742
C 0.721 0.871 0.258
C 0.912 0.800 0.886
C 0.088 0.200 0.114
N 0.426 0.209 0.600
N 0.574 0.791 0.400
N 0.877 0.688 0.818
N 0.123 0.312 0.182
O 0.256 0.803 0.050
O 0.744 0.197 0.950

---

Q: Which formula does entry 1 have?
A: Li3NbC

---

Q: Look up the total magnetic moment of the first one.
A: 8.00 μB per cell

---

Q: calculated volume of number 3 (K3ReC4N4O2)?
A: 19.53 Å³/atom

---

Q: calculated volume of number 1 (Li3NbC)?
A: 32.32 Å³/atom